! Nb4SiH | the Alexandria database | GGA-PBE | relaxed; values from VASP
! VASP energy = -7.973 eV/atom
! SG = I4_1md, No. 109
! crystal system = tetragonal
&SYSTEM
  ibrav = 0, nat = 12, ntyp = 3
/
ATOMIC_SPECIES
Nb 92.91 Nb.upf
Si 28.09 Si.upf
H 1.01 H.upf
ATOMIC_POSITIONS crystal
Nb 0.177 0.485 0.691
Nb 0.235 0.044 0.809
Nb 0.235 0.427 0.191
Nb 0.248 0.000 0.248
Nb 0.750 0.002 0.252
Nb 0.750 0.498 0.748
Nb 0.752 0.000 0.752
Nb 0.794 0.485 0.309
Si 0.283 0.783 0.500
Si 0.533 0.533 0.000
H 0.033 0.033 0.000
H 0.783 0.283 0.500
CELL_PARAMETERS angstrom
-3.831 3.831 3.396
3.831 -3.831 3.396
3.831 3.831 -3.396

***

! Nb3Si2H | the Alexandria database | GGA-PBE | relaxed; values from VASP
! VASP energy = -7.680 eV/atom
! SG = Imma, No. 74
! crystal system = orthorhombic
&SYSTEM
  ibrav = 0, nat = 12, ntyp = 3
/
ATOMIC_SPECIES
Nb 92.91 Nb.upf
Si 28.09 Si.upf
H 1.01 H.upf
ATOMIC_POSITIONS crystal
Nb 0.127 0.000 0.627
Nb 0.127 0.500 0.127
Nb 0.500 0.250 0.250
Nb 0.500 0.750 0.750
Nb 0.873 0.000 0.373
Nb 0.873 0.500 0.873
Si 0.303 0.250 0.053
Si 0.303 0.750 0.553
Si 0.697 0.250 0.447
Si 0.697 0.750 0.947
H 0.001 0.251 0.750
H 0.999 0.749 0.250
CELL_PARAMETERS angstrom
-2.898 6.462 2.221
2.898 -6.462 2.221
2.898 6.462 -2.221

***

! NbSi3H | the Alexandria database | GGA-PBE | relaxed; values from VASP
! VASP energy = -5.600 eV/atom
! SG = Pm-3m, No. 221
! crystal system = cubic
&SYSTEM
  ibrav = 0, nat = 5, ntyp = 3
/
ATOMIC_SPECIES
Nb 92.91 Nb.upf
Si 28.09 Si.upf
H 1.01 H.upf
ATOMIC_POSITIONS crystal
Nb 0.000 0.000 0.000
Si 0.000 0.500 0.500
Si 0.500 0.000 0.500
Si 0.500 0.500 0.000
H 0.500 0.500 0.500
CELL_PARAMETERS angstrom
3.953 0.000 0.000
0.000 3.953 0.000
0.000 0.000 3.953

***

! Ta2NbSiH | the Alexandria database | GGA-PBE | relaxed; values from VASP
! VASP energy = -6.918 eV/atom
! SG = P4/mmm, No. 123
! crystal system = tetragonal
&SYSTEM
  ibrav = 0, nat = 5, ntyp = 4
/
ATOMIC_SPECIES
Ta 180.95 Ta.upf
Nb 92.91 Nb.upf
Si 28.09 Si.upf
H 1.01 H.upf
ATOMIC_POSITIONS crystal
Ta 0.000 0.500 0.000
Ta 0.500 0.000 0.000
Nb 0.000 0.000 0.500
Si 0.000 0.000 0.000
H 0.500 0.500 0.500
CELL_PARAMETERS angstrom
4.666 0.000 0.000
0.000 4.666 0.000
0.000 0.000 4.666

***

! TaNbSi2H | the Alexandria database | GGA-PBE | relaxed; values from VASP
! VASP energy = -5.743 eV/atom
! SG = P4/mmm, No. 123
! crystal system = tetragonal
&SYSTEM
  ibrav = 0, nat = 5, ntyp = 4
/
ATOMIC_SPECIES
Ta 180.95 Ta.upf
Nb 92.91 Nb.upf
Si 28.09 Si.upf
H 1.01 H.upf
ATOMIC_POSITIONS crystal
Ta 0.000 0.000 0.000
Nb 0.000 0.000 0.500
Si 0.000 0.500 0.000
Si 0.500 0.000 0.000
H 0.500 0.500 0.500
CELL_PARAMETERS angstrom
4.852 0.000 0.000
0.000 4.852 0.000
0.000 0.000 4.942

***

! Ti2NbSiH | the Alexandria database | GGA-PBE | relaxed; values from VASP
! VASP energy = -7.378 eV/atom
! SG = P4/mmm, No. 123
! crystal system = tetragonal
&SYSTEM
  ibrav = 0, nat = 5, ntyp = 4
/
ATOMIC_SPECIES
Ti 47.87 Ti.upf
Nb 92.91 Nb.upf
Si 28.09 Si.upf
H 1.01 H.upf
ATOMIC_POSITIONS crystal
Ti 0.000 0.500 0.000
Ti 0.500 0.000 0.000
Nb 0.000 0.000 0.500
Si 0.500 0.500 0.500
H 0.000 0.000 0.000
CELL_PARAMETERS angstrom
4.171 0.000 0.000
0.000 4.171 0.000
0.000 0.000 3.776

***

! Nb2VSiH | the Alexandria database | GGA-PBE | relaxed; values from VASP
! VASP energy = -7.890 eV/atom
! SG = P4/mmm, No. 123
! crystal system = tetragonal
&SYSTEM
  ibrav = 0, nat = 5, ntyp = 4
/
ATOMIC_SPECIES
Nb 92.91 Nb.upf
V 50.94 V.upf
Si 28.09 Si.upf
H 1.01 H.upf
ATOMIC_POSITIONS crystal
Nb 0.000 0.500 0.000
Nb 0.500 0.000 0.000
V 0.000 0.000 0.500
Si 0.500 0.500 0.500
H 0.000 0.000 0.000
CELL_PARAMETERS angstrom
4.147 0.000 0.000
0.000 4.147 0.000
0.000 0.000 3.783

***

! Sm2NbH | the Alexandria database | GGA-PBE | relaxed; values from VASP
! VASP energy = -5.349 eV/atom
! SG = R-3m, No. 166
! crystal system = trigonal
&SYSTEM
  ibrav = 0, nat = 4, ntyp = 3
/
ATOMIC_SPECIES
Sm 150.36 Sm.upf
Nb 92.91 Nb.upf
H 1.01 H.upf
ATOMIC_POSITIONS crystal
Sm 0.109 0.109 0.109
Sm 0.891 0.891 0.891
Nb 0.000 0.000 0.000
H 0.500 0.500 0.500
CELL_PARAMETERS angstrom
1.609 0.929 9.144
-1.609 0.929 9.144
0.000 -1.858 9.144

***

Number 1: DOS at the Fermi energy 0.67 states/eV/atom, spin magnetization 0.00 Bohr magnetons per cell. Number 2: DOS at the Fermi energy 0.43 states/eV/atom, spin magnetization 0.00 Bohr magnetons per cell. Number 3: DOS at the Fermi energy 0.66 states/eV/atom, spin magnetization 0.00 Bohr magnetons per cell. Number 4: DOS at the Fermi energy 0.38 states/eV/atom, spin magnetization 0.00 Bohr magnetons per cell. Number 5: DOS at the Fermi energy 1.03 states/eV/atom, spin magnetization 0.64 Bohr magnetons per cell. Number 6: DOS at the Fermi energy 0.35 states/eV/atom, spin magnetization 0.00 Bohr magnetons per cell. Number 7: DOS at the Fermi energy 0.53 states/eV/atom, spin magnetization 0.00 Bohr magnetons per cell. Number 8: DOS at the Fermi energy 1.06 states/eV/atom, spin magnetization 0.00 Bohr magnetons per cell.